[1]
Below is a PBEsol-optimized structure of BaTeC2Br, with properties calculated at the SCAN level.

Output
calculated total energy = -105.307 eV for the cell shown
space-group type = P4/mmm (123)
ΔE_f (raw) = 2231 meV per atom
total magnetization = 5.04 Bohr magnetons per cell

a = 4.9472 Å, b = 4.9472 Å, c = 7.0245 Å
α = 90.00°, β = 90.00°, γ = 90.00°
Last column: nearest neighbours and their distance in Å.
Fractional positions:
C1 0.0000 0.5000 0.0000  2 Ba 2.47
C2 0.5000 0.0000 0.0000  2 Ba 2.47
Te1 0.0000 0.0000 0.5000  4 Br 3.50, 2 Ba 3.51
Ba1 0.0000 0.0000 0.0000  4 C 2.47
Br1 0.5000 0.5000 0.5000  4 Te 3.50

[2]
Below is a PBEsol-optimized structure of Ba2CaBr, with properties calculated at the SCAN level.

Output
calculated total energy = -109.710 eV for the cell shown
space-group type = I4/mmm (139)
ΔE_f (raw) = -372 meV per atom
total magnetization = 1.10 Bohr magnetons per cell

a = 5.5855 Å, b = 5.5855 Å, c = 6.9333 Å
α = 113.75°, β = 113.75°, γ = 90.00°
Last column: nearest neighbours and their distance in Å.
Fractional positions:
Ca1 0.0000 0.0000 0.0000  4 Br 3.95, 8 Ba 3.99
Ba1 0.7500 0.2500 0.5000  4 Ba 3.95, 4 Br 3.99, 4 Ca 3.99
Ba2 0.2500 0.7500 0.5000  4 Ba 3.95, 4 Br 3.99, 4 Ca 3.99
Br1 0.5000 0.5000 0.0000  4 Ca 3.95, 8 Ba 3.99

[3]
Below is a PBEsol-optimized structure of BaCaCoBr2, with properties calculated at the SCAN level.

Output
calculated total energy = -109.471 eV for the cell shown
space-group type = P4/mmm (123)
ΔE_f (raw) = -807 meV per atom
total magnetization = 2.14 Bohr magnetons per cell

a = 5.1580 Å, b = 5.4446 Å, c = 5.4446 Å
α = 90.00°, β = 90.00°, γ = 90.00°
Last column: nearest neighbours and their distance in Å.
Fractional positions:
Ca1 0.0000 0.0000 0.0000  2 Co 2.58, 4 Br 2.72
Co1 0.5000 0.0000 0.0000  2 Ca 2.58
Ba1 0.5000 0.5000 0.5000  8 Br 3.75, 4 Co 3.85
Br1 0.0000 0.0000 0.5000  2 Ca 2.72
Br2 0.0000 0.5000 0.0000  2 Ca 2.72

[4]
Below is a PBEsol-optimized structure of BaCaBr2N, with properties calculated at the SCAN level.

Output
calculated total energy = -100.721 eV for the cell shown
space-group type = P4/mmm (123)
ΔE_f (raw) = -659 meV per atom
total magnetization = 1.64 Bohr magnetons per cell

a = 4.1934 Å, b = 5.9417 Å, c = 5.9417 Å
α = 90.00°, β = 90.00°, γ = 90.00°
Last column: nearest neighbours and their distance in Å.
Fractional positions:
Ca1 0.5000 0.0000 0.0000  2 N 2.10
Ba1 0.5000 0.5000 0.5000  8 Br 3.64
Br1 0.0000 0.0000 0.5000  2 N 2.97
Br2 0.0000 0.5000 0.0000  2 N 2.97
N1 0.0000 0.0000 0.0000  2 Ca 2.10

[5]
Below is a PBEsol-optimized structure of BaCd2Br, with properties calculated at the SCAN level.

Output
calculated total energy = -122.894 eV for the cell shown
space-group type = P4mm (99)
ΔE_f (raw) = -764 meV per atom
total magnetization = 0.00 Bohr magnetons per cell
ΔE to the lowest computed polymorph = 0.0 meV per atom

a = 4.0579 Å, b = 4.0579 Å, c = 7.5333 Å
α = 90.00°, β = 90.00°, γ = 90.00°
Last column: nearest neighbours and their distance in Å.
Fractional positions:
Ba1 0.0000 0.0000 0.5162  4 Br 3.27, 1 Cd 3.39
Br1 0.5000 0.5000 0.7231  4 Ba 3.27, 1 Cd 3.55
Cd1 0.0000 0.0000 0.0665  4 Cd 3.03, 1 Ba 3.39
Cd2 0.5000 0.5000 0.1941  4 Cd 3.03

[6]
Below is a PBEsol-optimized structure of BaCd2Br, with properties calculated at the SCAN level.

Output
calculated total energy = -122.252 eV for the cell shown
space-group type = P4/mmm (123)
ΔE_f (raw) = -603 meV per atom
total magnetization = 0.00 Bohr magnetons per cell
ΔE to the lowest computed polymorph = 160.6 meV per atom

a = 4.6735 Å, b = 4.6735 Å, c = 6.2039 Å
α = 90.00°, β = 90.00°, γ = 90.00°
Last column: nearest neighbours and their distance in Å.
Fractional positions:
Ba1 0.5000 0.5000 0.0000  2 Br 3.10
Br1 0.5000 0.5000 0.5000  2 Ba 3.10
Cd1 0.0000 0.0000 0.7341  1 Cd 2.90
Cd2 0.0000 0.0000 0.2659  1 Cd 2.90